Crystalline Y2NiSnO at its relaxed geometry. Source: Alexandria, functional PBE+U.

abc: 5.1840 5.1840 4.5176
angles: 90.00 90.00 90.00
Closest atoms and distances in Å follow each position.
Space group P4/mmm (No. 123)
Asymmetric unit:
Y  0.0000  0.5000  0.0000 x2  2 Ni 2.59
Ni  0.0000  0.0000  0.0000 x1  2 Sn 2.26
Sn  0.0000  0.0000  0.5000 x1  2 Ni 2.26
O  0.5000  0.5000  0.5000 x1  8 Y 3.44, 4 Sn 3.67

Results
Electronic total energy, eV per formula unit: -24.22
Spin magnetization, μB/atom: 0.00